This record from Alexandria via LeMat-Bulk describes Nb2CdTeS at its PBEsol-relaxed geometry. The functional is SCAN.

Values from the calculation:
The calculation puts the magnetic moment at 0.01 μB/cell. Its total energy is -27.252 eV/atom. The uncorrected formation energy is 7.3 eV/f.u.

abc: 5.0629 5.0629 5.2116
angles: 90.00 90.00 90.00
Closest atoms and distances in Å follow each position.
Element x y z (fractional)
Nb (0.0000, 0.5000, 0.0000)  2 Te 2.53
Nb (0.5000, 0.0000, 0.0000)  2 Te 2.53
Cd (0.0000, 0.0000, 0.5000)  2 Te 2.61
Te (0.0000, 0.0000, 0.0000)  4 Nb 2.53, 2 Cd 2.61
S (0.5000, 0.5000, 0.5000)  4 Cd 3.58, 8 Nb 3.63

This record from Alexandria via LeMat-Bulk describes Mg5Tl at its PBEsol-relaxed geometry. The functional is SCAN.

Values from the calculation:
The energy above the lowest structure with this stoichiometry comes out at 21 meV/atom. The calculation puts the magnetic moment at 0.00 μB/cell. Its total energy is -16.258 eV/atom. The calculation puts the formation energy at -0.054 eV/atom.

abc: 5.9704 5.9704 7.3753
angles: 105.33 105.33 32.84
Closest atoms and distances in Å follow each position.
Element x y z (fractional)
Mg (0.0000, 0.0000, 0.0000)  3 Tl 3.14-3.16, 9 Mg 3.15-3.37
Mg (0.0447, 0.0447, 0.5973)  10 Mg 3.13-3.37, 2 Tl 3.18
Mg (0.3307, 0.3307, 0.6661)  10 Mg 3.13-3.37, 2 Tl 3.15
Mg (0.3794, 0.3794, 0.2628)  2 Tl 3.13, 10 Mg 3.14-3.37
Mg (0.6627, 0.6627, 0.3353)  11 Mg 3.14-3.37, 1 Tl 3.19
Tl (0.7152, 0.7152, 0.9329)  10 Mg 3.13-3.19, 2 Tl 3.37